No. 1
Density functional theory data (PBE) for Mg3CdMo after structural relaxation.

* total magnetic moment: 4.1 μB per cell
* energy above the lowest structure with this stoichiometry: 0.044 eV per atom
* energy of formation from the pure elements: 5.3 eV/f.u.

a = 5.126 Å, b = 5.126 Å, c = 5.126 Å
α = 90.00°, β = 90.00°, γ = 90.00°
Space group Pm-3m (No. 221)
Asymmetric unit:
Mg 0.000 0.000 0.500 [3 per cell]
Cd 0.000 0.000 0.000 [1 per cell]
Mo 0.500 0.500 0.500 [1 per cell]


No. 2
Density functional theory data (PBE) for SiTcPt2 after structural relaxation.

* total magnetic moment: 1.0 μB per cell
* raw total energy: -27.9 eV for the cell shown

a = 4.747 Å, b = 4.747 Å, c = 2.689 Å
α = 90.00°, β = 90.00°, γ = 90.00°
Space group P4/mmm (No. 123)
Asymmetric unit:
Si 0.000 0.000 0.000 [1 per cell]
Tc 0.500 0.500 0.000 [1 per cell]
Pt 0.000 0.500 0.500 [2 per cell]


No. 3
Density functional theory data (PBE) for YGa5Ni7 after structural relaxation.

* total magnetic moment: 0.0 μB per cell
* energy of formation from the pure elements: -4.3 eV/f.u.

a = 9.614 Å, b = 8.549 Å, c = 5.074 Å
α = 90.00°, β = 121.80°, γ = 90.00°
Space group Cm (No. 8)
Asymmetric unit:
Y 0.000 0.000 0.000 [2 per cell]
Ga 0.243 0.238 0.496 [4 per cell]
Ga 0.243 0.238 0.989 [4 per cell]
Ga 0.278 0.500 0.278 [2 per cell]
Ni 0.151 0.500 0.650 [2 per cell]
Ni 0.216 0.000 0.715 [2 per cell]
Ni 0.351 0.000 0.351 [2 per cell]
Ni 0.490 0.276 0.489 [4 per cell]
Ni 0.499 0.147 0.999 [4 per cell]


No. 4
Density functional theory data (PBE) for SrCa2MgNi after structural relaxation.

* total magnetic moment: 0.0 μB per cell
* energy above the lowest structure with this stoichiometry: 0.029 eV per atom
* energy of formation from the pure elements: 0.0 eV/f.u.

a = 5.472 Å, b = 5.472 Å, c = 5.746 Å
α = 90.00°, β = 90.00°, γ = 90.00°
Space group P4/mmm (No. 123)
Asymmetric unit:
Sr 0.000 0.000 0.000 [1 per cell]
Ca 0.000 0.500 0.500 [2 per cell]
Mg 0.500 0.500 0.000 [1 per cell]
Ni 0.000 0.000 0.500 [1 per cell]


No. 5
Density functional theory data (PBE) for Rb2NiBPd after structural relaxation.

* total magnetic moment: 2.4 μB per cell
* energy of formation from the pure elements: 7.0 eV/f.u.

a = 6.247 Å, b = 6.247 Å, c = 4.641 Å
α = 90.00°, β = 90.00°, γ = 90.00°
Space group P4/mmm (No. 123)
Asymmetric unit:
Rb 0.000 0.500 0.000 [2 per cell]
Ni 0.000 0.000 0.000 [1 per cell]
B 0.500 0.500 0.500 [1 per cell]
Pd 0.000 0.000 0.500 [1 per cell]


No. 6
Density functional theory data (PBE) for LaPu3Th4S8 after structural relaxation.

* total magnetic moment: 48.5 μB per cell
* raw total energy: -421.2 eV for the cell shown

a = 8.0112 Å, b = 8.0112 Å, c = 19.8485 Å
α = 90.00°, β = 90.00°, γ = 120.00°
Space group R-3m (No. 166, hexagonal axes)
Asymmetric unit:
La 0.0000 0.0000 0.0000 [3 per cell]
Pu 0.0000 0.5000 0.0000 [9 per cell]
Th 0.0000 0.0000 0.5000 [3 per cell]
Th 0.0000 0.5000 0.5000 [9 per cell]
S 0.0000 0.0000 0.2539 [6 per cell]
S 0.0069 0.5034 0.2518 [18 per cell]